1.
First-principles (GGA+U) data for crystalline GdCrO3 at its relaxed geometry, as listed in the Alexandria database.

Structure (POSCAR):
```
GdCrO3
1.0
-1.7938 4.1027 2.9436
-0.1838 -3.3243 4.5213
7.2446 1.9353 1.7175
Gd O Cr
4 12 4
direct
0.5176 0.5648 0.2500
0.4824 0.4352 0.7500
0.0176 0.9352 0.7500
0.9824 0.0648 0.2500
0.8035 0.8000 0.4469
0.1965 0.2000 0.9469
0.1033 0.4680 0.2500
0.6965 0.3000 0.4469
0.8035 0.8000 0.0531
0.3035 0.7000 0.5531
0.6965 0.3000 0.0531
0.8967 0.5320 0.7500
0.1965 0.2000 0.5531
0.6033 0.0320 0.7500
0.3967 0.9680 0.2500
0.3035 0.7000 0.9469
0.5000 0.0000 0.0000
0.0000 0.5000 0.0000
0.0000 0.5000 0.5000
0.5000 0.0000 0.5000
```

The space group is Pnma. As for the volume: 11.6 Å³ per atom. For the raw total energy, the calculation gives -9.8451 eV per atom. As for the crystal system: orthorhombic. The calculation puts the total moment at 32.015 μB/cell.

***

2.
First-principles (GGA+U) data for crystalline GdCrO3 at its relaxed geometry, as listed in the Alexandria database.

Structure (POSCAR):
```
GdCrO3
1.0
-3.2668 -1.7224 -1.1332
0.5052 -2.7273 2.6888
-1.9989 2.1257 2.5316
O Cr Gd
3 1 1
direct
0.5000 0.5000 0.0000
0.5000 0.0000 0.5000
0.0000 0.5000 0.5000
0.5000 0.5000 0.5000
0.0000 0.0000 0.0000
```

The space group is Pm-3m. As for the volume: 11.5 Å³ per atom. For the raw total energy, the calculation gives -9.6125 eV per atom. As for the crystal system: cubic. The calculation puts the total moment at 6.000 μB/cell.

***

3.
First-principles (GGA+U) data for crystalline Gd2Cr2O5 at its relaxed geometry, as listed in the Alexandria database.

Structure (POSCAR):
```
Gd2Cr2O5
1.0
-3.5885 -1.3784 0.6908
0.5596 -2.7950 -2.6701
2.6207 -4.2945 5.0445
O Gd Cr
5 2 2
direct
0.5000 0.0000 0.2266
0.0000 0.5000 0.2266
0.0000 0.5000 0.7734
0.5000 0.0000 0.7734
0.5000 0.5000 0.5000
0.0000 0.0000 0.0000
0.0000 0.0000 0.5000
0.5000 0.5000 0.7802
0.5000 0.5000 0.2198
```

The space group is P4/mmm. As for the volume: 12.1 Å³ per atom. For the raw total energy, the calculation gives -9.6841 eV per atom. As for the crystal system: tetragonal. The calculation puts the total moment at 1.997 μB/cell.

***

4.
First-principles (GGA+U) data for crystalline Gd3CrO at its relaxed geometry, as listed in the Alexandria database.

Structure (POSCAR):
```
Gd3CrO
1.0
4.8767 0.0000 0.0000
0.0000 4.8767 0.0000
0.0000 0.0000 4.8767
Gd O Cr
3 1 1
direct
0.0000 0.5000 0.0000
0.0000 0.0000 0.5000
0.5000 0.0000 0.0000
0.0000 0.0000 0.0000
0.5000 0.5000 0.5000
```

The space group is Pm-3m. As for the volume: 23.2 Å³ per atom. For the raw total energy, the calculation gives -11.8892 eV per atom. As for the crystal system: cubic. The calculation puts the total moment at 26.660 μB/cell.

***

> The lowest total moment belongs to which entry?

Gd2Cr2O5

***

> Which formula does entry 3 have?

Gd2Cr2O5

***

Please write out number 3 again, unchanged.
First-principles (GGA+U) data for crystalline Gd2Cr2O5 at its relaxed geometry, as listed in the Alexandria database.

Structure (POSCAR):
```
Gd2Cr2O5
1.0
-3.5885 -1.3784 0.6908
0.5596 -2.7950 -2.6701
2.6207 -4.2945 5.0445
O Gd Cr
5 2 2
direct
0.5000 0.0000 0.2266
0.0000 0.5000 0.2266
0.0000 0.5000 0.7734
0.5000 0.0000 0.7734
0.5000 0.5000 0.5000
0.0000 0.0000 0.0000
0.0000 0.0000 0.5000
0.5000 0.5000 0.7802
0.5000 0.5000 0.2198
```

The space group is P4/mmm. As for the volume: 12.1 Å³ per atom. For the raw total energy, the calculation gives -9.6841 eV per atom. As for the crystal system: tetragonal. The calculation puts the total moment at 1.997 μB/cell.